(1)
A relaxed structure of Li5Sn2Pb. Source: the Alexandria database, functional GGA-PBE.

POSCAR file:
```
Li5Sn2Pb
1.0
-0.083 3.918 2.758
-2.814 -2.273 3.144
6.970 -3.051 0.380
Li Sn Pb
5 2 1
direct
0.500 0.500 0.000
0.876 0.376 0.752
0.376 0.876 0.752
0.124 0.624 0.248
0.624 0.124 0.248
0.748 0.748 0.496
0.252 0.252 0.504
0.000 0.000 0.000
```

Output
M_tot, μB per cell: 0.00
Energy, eV per atom: -3.00

---

(2)
A relaxed structure of Li4Sn4Pb. Source: the Alexandria database, functional GGA-PBE.

POSCAR file:
```
Li4Sn4Pb
1.0
-5.949 -2.588 0.428
2.221 -5.533 -2.592
2.107 -3.358 8.973
Li Sn Pb
8 8 2
direct
0.500 0.776 0.928
0.500 0.224 0.928
0.776 0.500 0.072
0.224 0.500 0.072
0.276 0.000 0.428
0.724 0.000 0.428
0.000 0.276 0.572
0.000 0.724 0.572
0.228 0.500 0.780
0.772 0.500 0.780
0.500 0.772 0.220
0.500 0.228 0.220
0.000 0.728 0.280
0.000 0.272 0.280
0.272 0.000 0.720
0.728 0.000 0.720
0.000 0.000 0.000
0.500 0.500 0.500
```

Output
M_tot, μB per cell: 0.00
Energy, eV per atom: -3.24

---

(3)
A relaxed structure of Li2SnPb9. Source: the Alexandria database, functional GGA-PBE.

POSCAR file:
```
Li2SnPb9
1.0
-3.664 -2.329 -2.113
3.036 -3.465 -1.445
-2.550 -7.554 12.751
Li Sn Pb
2 1 9
direct
0.000 0.000 0.340
0.000 0.000 0.660
0.000 0.000 0.000
0.500 0.500 0.000
0.500 0.500 0.338
0.500 0.500 0.662
0.500 0.000 0.175
0.500 0.000 0.500
0.500 0.000 0.825
0.000 0.500 0.175
0.000 0.500 0.500
0.000 0.500 0.825
```

Output
M_tot, μB per cell: 0.00
Energy, eV per atom: -3.50

---

(4)
A relaxed structure of Li2Sn3Pb4. Source: the Alexandria database, functional GGA-PBE.

POSCAR file:
```
Li2Sn3Pb4
1.0
5.077 -0.046 -0.006
-2.587 6.479 0.392
-0.005 0.579 7.634
Li Sn Pb
2 3 4
direct
0.797 0.608 0.292
0.203 0.392 0.708
0.609 0.205 0.572
0.000 0.000 0.000
0.391 0.795 0.428
0.341 0.689 0.033
0.867 0.745 0.672
0.133 0.255 0.328
0.659 0.311 0.967
```

Output
M_tot, μB per cell: 0.00
Energy, eV per atom: -3.47

---

(5)
A relaxed structure of LiSn5Pb4. Source: the Alexandria database, functional GGA-PBE.

POSCAR file:
```
LiSn5Pb4
1.0
-0.315 1.474 -3.855
-1.901 -3.483 -1.177
-14.756 6.771 3.793
Li Sn Pb
1 5 4
direct
0.000 0.000 0.000
0.500 0.500 0.090
0.500 0.500 0.292
0.500 0.500 0.500
0.500 0.500 0.708
0.500 0.500 0.910
0.000 0.000 0.186
0.000 0.000 0.396
0.000 0.000 0.604
0.000 0.000 0.814
```

Output
M_tot, μB per cell: 0.00
Energy, eV per atom: -3.67

---

(6)
A relaxed structure of LiSn3Pb12. Source: the Alexandria database, functional GGA-PBE.

POSCAR file:
```
LiSn3Pb12
1.0
3.567 0.000 0.000
0.000 5.998 0.000
0.000 0.000 22.537
Li Sn Pb
1 3 12
direct
0.000 0.000 0.000
0.000 0.000 0.233
0.000 0.000 0.500
0.000 0.000 0.767
0.500 0.500 0.000
0.500 0.500 0.252
0.500 0.500 0.500
0.500 0.500 0.748
0.500 0.000 0.109
0.500 0.000 0.370
0.500 0.000 0.630
0.500 0.000 0.891
0.000 0.500 0.126
0.000 0.500 0.376
0.000 0.500 0.624
0.000 0.500 0.874
```

Output
M_tot, μB per cell: 0.00
Energy, eV per atom: -3.63

---

(7)
A relaxed structure of Li3Sn2Pb. Source: the Alexandria database, functional GGA-PBE.

POSCAR file:
```
Li3Sn2Pb
1.0
3.493 0.000 0.000
0.000 3.493 0.000
0.000 0.000 10.384
Li Sn Pb
3 2 1
direct
0.000 0.000 0.000
0.000 0.000 0.680
0.000 0.000 0.320
0.500 0.500 0.840
0.500 0.500 0.160
0.500 0.500 0.500
```

Output
M_tot, μB per cell: 0.00
Energy, eV per atom: -3.21

---

(8)
A relaxed structure of Li4SnPb7. Source: the Alexandria database, functional GGA-PBE.

POSCAR file:
```
Li4SnPb7
1.0
-2.777 -3.646 3.477
-0.852 -7.453 -3.737
4.897 -4.939 3.492
Li Sn Pb
4 1 7
direct
0.540 0.272 0.648
0.460 0.728 0.352
0.686 0.650 0.978
0.314 0.350 0.022
0.000 0.000 0.000
0.787 0.875 0.550
0.213 0.125 0.450
0.073 0.599 0.256
0.927 0.401 0.744
0.281 0.678 0.760
0.500 0.000 0.000
0.719 0.322 0.240
```

Output
M_tot, μB per cell: 0.00
Energy, eV per atom: -3.18